1.
An optimized crystal structure of CuHgP. Source: Alexandria via LeMat-Bulk, functional PBE-GGA.

Density: 8.13 g/cm³
Formation enthalpy at 0 K: 220 meV/atom
Magnetic moment: 0.0 μB/f.u.
VASP energy: -3.050 eV per atom

Cell and atoms, written as CIF:
```
data_CuHgP
_chemical_formula_sum 'Cu2 Hg2 P2'
_symmetry_space_group_name_H-M 'I 4 m m'
_symmetry_Int_Tables_number 107
_symmetry_space_group_name_Hall 'I 4 -2'
_cell_length_a 3.061
_cell_length_b 3.061
_cell_length_c 12.874
_cell_angle_alpha 90.00
_cell_angle_beta 90.00
_cell_angle_gamma 90.00
loop_
_atom_site_label
_atom_site_fract_x
_atom_site_fract_y
_atom_site_fract_z
_atom_site_occupancy
Cu1 0.000 0.000 0.000 1
Hg1 0.000 0.000 0.210 1
P1 0.000 0.000 0.424 1
```

2.
An optimized crystal structure of PmYCd. Source: Alexandria via LeMat-Bulk, functional PBE-GGA.

Distance to the lowest polymorph of the same formula: 0.2846 eV/atom
Density: 5.73 g/cm³
Formation enthalpy at 0 K: 79 meV/atom
Magnetic moment: 0.0 μB/f.u.
VASP energy: -3.964 eV per atom

Cell and atoms, written as CIF:
```
data_PmYCd
_chemical_formula_sum 'Pm4 Y4 Cd4'
_symmetry_space_group_name_H-M 'F -4 3 m'
_symmetry_Int_Tables_number 216
_symmetry_space_group_name_Hall 'F -4 2 3'
_cell_length_a 7.375
_cell_length_b 7.375
_cell_length_c 7.375
_cell_angle_alpha 90.00
_cell_angle_beta 90.00
_cell_angle_gamma 90.00
loop_
_atom_site_label
_atom_site_fract_x
_atom_site_fract_y
_atom_site_fract_z
_atom_site_occupancy
Pm1 0.000 0.000 0.000 1
Y1 0.000 0.000 0.500 1
Cd1 0.250 0.250 0.250 1
```

3.
An optimized crystal structure of PmGdGa. Source: Alexandria via LeMat-Bulk, functional PBE-GGA.

Distance to the lowest polymorph of the same formula: 0.0000 eV/atom
Density: 7.45 g/cm³
Formation enthalpy at 0 K: -359 meV/atom
Magnetic moment: 8.0 μB/f.u.
VASP energy: -7.645 eV per atom

Cell and atoms, written as CIF:
```
data_PmGdGa
_chemical_formula_sum 'Pm2 Gd2 Ga2'
_symmetry_space_group_name_H-M 'I 4 m m'
_symmetry_Int_Tables_number 107
_symmetry_space_group_name_Hall 'I 4 -2'
_cell_length_a 3.666
_cell_length_b 3.666
_cell_length_c 12.347
_cell_angle_alpha 90.00
_cell_angle_beta 90.00
_cell_angle_gamma 90.00
loop_
_atom_site_label
_atom_site_fract_x
_atom_site_fract_y
_atom_site_fract_z
_atom_site_occupancy
Pm1 0.000 0.000 0.000 1
Gd1 0.000 0.000 0.291 1
Ga1 0.000 0.000 0.649 1
```

4.
An optimized crystal structure of RbTc3Hg. Source: Alexandria via LeMat-Bulk, functional PBE-GGA.

Distance to the lowest polymorph of the same formula: 0.8378 eV/atom
Density: 9.09 g/cm³
Formation enthalpy at 0 K: 3136 meV/atom
Magnetic moment: 3.9 μB/f.u.
VASP energy: -3.338 eV per atom

Cell and atoms, written as CIF:
```
data_RbTc3Hg
_chemical_formula_sum 'Rb1 Tc3 Hg1'
_symmetry_space_group_name_H-M 'P m -3 m'
_symmetry_Int_Tables_number 221
_symmetry_space_group_name_Hall '-P 4 2 3'
_cell_length_a 4.733
_cell_length_b 4.733
_cell_length_c 4.733
_cell_angle_alpha 90.00
_cell_angle_beta 90.00
_cell_angle_gamma 90.00
loop_
_atom_site_label
_atom_site_fract_x
_atom_site_fract_y
_atom_site_fract_z
_atom_site_occupancy
Rb1 0.000 0.000 0.000 1
Tc1 0.000 0.000 0.500 1
Hg1 0.500 0.500 0.500 1
```

5.
An optimized crystal structure of NaDyCuCl5. Source: Alexandria via LeMat-Bulk, functional PBE-GGA.

Density: 3.28 g/cm³
E_form (uncorrected): -1.67 eV per atom
Magnetic moment: 0.1 μB/f.u.
VASP energy: -4.078 eV per atom

Cell and atoms, written as CIF:
```
data_NaDyCuCl5
_chemical_formula_sum 'Na4 Dy4 Cu4 Cl20'
_symmetry_space_group_name_H-M 'C 1 2/c 1'
_symmetry_Int_Tables_number 15
_cell_length_a 8.264
_cell_length_b 11.657
_cell_length_c 9.742
_cell_angle_alpha 90.00
_cell_angle_beta 113.13
_cell_angle_gamma 90.00
loop_
_symmetry_equiv_pos_as_xyz
'x,y,z'
'-x,-y,-z'
'-x,y,-z+1/2'
'x,-y,z+1/2'
'x+1/2,y+1/2,z'
'-x+1/2,-y+1/2,-z'
'-x+1/2,y+1/2,-z+1/2'
'x+1/2,-y+1/2,z+1/2'
loop_
_atom_site_label
_atom_site_fract_x
_atom_site_fract_y
_atom_site_fract_z
_atom_site_occupancy
Na1 0.000 0.128 0.250 1
Dy1 0.000 0.500 0.000 1
Cu1 0.000 0.192 0.750 1
Cl1 0.000 0.402 0.250 1
Cl2 0.142 0.308 0.639 1
Cl3 0.172 0.066 0.938 1
```

6.
An optimized crystal structure of CsSm2I8. Source: Alexandria via LeMat-Bulk, functional PBE-GGA.

Distance to the lowest polymorph of the same formula: 0.0760 eV/atom
Density: 4.33 g/cm³
E_form (uncorrected): -1.16 eV per atom
Magnetic moment: 0.0 μB/f.u.
VASP energy: -3.219 eV per atom

Cell and atoms, written as CIF:
```
data_CsSm2I8
_chemical_formula_sum 'Cs1 Sm2 I8'
_symmetry_space_group_name_H-M 'P 4/m m m'
_symmetry_Int_Tables_number 123
_symmetry_space_group_name_Hall '-P 4 2'
_cell_length_a 7.616
_cell_length_b 7.616
_cell_length_c 9.577
_cell_angle_alpha 90.00
_cell_angle_beta 90.00
_cell_angle_gamma 90.00
loop_
_atom_site_label
_atom_site_fract_x
_atom_site_fract_y
_atom_site_fract_z
_atom_site_occupancy
Cs1 0.000 0.000 0.000 1
Sm1 0.000 0.500 0.500 1
I1 0.252 0.252 0.303 1
```

7.
An optimized crystal structure of Tb12FeHg6. Source: Alexandria via LeMat-Bulk, functional PBE-GGA.

Density: 9.57 g/cm³
Formation enthalpy at 0 K: -206 meV/atom
Magnetic moment: 0.0 μB/f.u.
VASP energy: -3.671 eV per atom

Cell and atoms, written as CIF:
```
data_Tb12FeHg6
_chemical_formula_sum 'Tb36 Fe3 Hg18'
_symmetry_space_group_name_H-M 'R -3'
_symmetry_Int_Tables_number 148
_symmetry_space_group_name_Hall '-R 3'
_cell_length_a 12.0211
_cell_length_b 12.0211
_cell_length_c 13.1702
_cell_angle_alpha 90.00
_cell_angle_beta 90.00
_cell_angle_gamma 120.00
loop_
_atom_site_label
_atom_site_fract_x
_atom_site_fract_y
_atom_site_fract_z
_atom_site_occupancy
Tb1 0.0345 0.8472 0.3884 1
Tb2 0.0370 0.1870 0.8802 1
Fe1 0.0000 0.0000 0.0000 1
Hg1 0.0060 0.6090 0.2548 1
```

8.
An optimized crystal structure of SrLi2Os. Source: Alexandria via LeMat-Bulk, functional PBE-GGA.

Distance to the lowest polymorph of the same formula: 0.1671 eV/atom
Density: 6.13 g/cm³
Formation enthalpy at 0 K: 663 meV/atom
Magnetic moment: 0.4 μB/f.u.
VASP energy: -3.521 eV per atom

Cell and atoms, written as CIF:
```
data_SrLi2Os
_chemical_formula_sum 'Sr2 Li4 Os2'
_symmetry_space_group_name_H-M 'I -4 m 2'
_symmetry_Int_Tables_number 119
_symmetry_space_group_name_Hall 'I -4 -2'
_cell_length_a 4.288
_cell_length_b 4.288
_cell_length_c 8.599
_cell_angle_alpha 90.00
_cell_angle_beta 90.00
_cell_angle_gamma 90.00
loop_
_atom_site_label
_atom_site_fract_x
_atom_site_fract_y
_atom_site_fract_z
_atom_site_occupancy
Sr1 0.000 0.000 0.000 1
Li1 0.000 0.000 0.500 1
Li2 0.000 0.500 0.750 1
Os1 0.000 0.500 0.250 1
```

9.
An optimized crystal structure of YRe3I. Source: Alexandria via LeMat-Bulk, functional PBE-GGA.

Distance to the lowest polymorph of the same formula: 0.0000 eV/atom
Density: 11.35 g/cm³
E_form (uncorrected): 2.08 eV per atom
Magnetic moment: 0.0 μB/f.u.
VASP energy: -6.995 eV per atom

Cell and atoms, written as CIF:
```
data_YRe3I
_chemical_formula_sum 'Y1 Re3 I1'
_symmetry_space_group_name_H-M 'P m -3 m'
_symmetry_Int_Tables_number 221
_symmetry_space_group_name_Hall '-P 4 2 3'
_cell_length_a 4.839
_cell_length_b 4.839
_cell_length_c 4.839
_cell_angle_alpha 90.00
_cell_angle_beta 90.00
_cell_angle_gamma 90.00
loop_
_atom_site_label
_atom_site_fract_x
_atom_site_fract_y
_atom_site_fract_z
_atom_site_occupancy
Y1 0.000 0.000 0.000 1
Re1 0.000 0.500 0.500 1
I1 0.500 0.500 0.500 1
```

10.
An optimized crystal structure of Cu2Ag3S2Br3. Source: Alexandria via LeMat-Bulk, functional PBE-GGA.

Density: 5.65 g/cm³
E_form (uncorrected): -0.22 eV per atom
Magnetic moment: 0.0 μB/f.u.
VASP energy: -3.222 eV per atom

Cell and atoms, written as CIF:
```
data_Cu2Ag3S2Br3
_chemical_formula_sum 'Cu4 Ag6 S4 Br6'
_symmetry_space_group_name_H-M 'I 4/m m m'
_symmetry_Int_Tables_number 139
_symmetry_space_group_name_Hall '-I 4 2'
_cell_length_a 4.054
_cell_length_b 4.054
_cell_length_c 27.003
_cell_angle_alpha 90.00
_cell_angle_beta 90.00
_cell_angle_gamma 90.00
loop_
_atom_site_label
_atom_site_fract_x
_atom_site_fract_y
_atom_site_fract_z
_atom_site_occupancy
Cu1 0.000 0.500 0.250 1
Ag1 0.000 0.000 0.000 1
Ag2 0.000 0.000 0.388 1
S1 0.000 0.000 0.293 1
Br1 0.000 0.000 0.105 1
Br2 0.000 0.000 0.500 1
```

11.
An optimized crystal structure of ZnIr5. Source: Alexandria via LeMat-Bulk, functional PBE-GGA.

Density: 17.75 g/cm³
Formation enthalpy at 0 K: 614 meV/atom
Magnetic moment: 0.0 μB/f.u.
VASP energy: -6.983 eV per atom

Cell and atoms, written as CIF:
```
data_ZnIr5
_chemical_formula_sum 'Zn4 Ir20'
_symmetry_space_group_name_H-M 'F -4 3 m'
_symmetry_Int_Tables_number 216
_symmetry_space_group_name_Hall 'F -4 2 3'
_cell_length_a 7.269
_cell_length_b 7.269
_cell_length_c 7.269
_cell_angle_alpha 90.00
_cell_angle_beta 90.00
_cell_angle_gamma 90.00
loop_
_atom_site_label
_atom_site_fract_x
_atom_site_fract_y
_atom_site_fract_z
_atom_site_occupancy
Zn1 0.000 0.000 0.000 1
Ir1 0.125 0.125 0.625 1
Ir2 0.250 0.250 0.250 1
```

12.
An optimized crystal structure of InAg6Au3. Source: Alexandria via LeMat-Bulk, functional PBE-GGA.

Distance to the lowest polymorph of the same formula: 0.0000 eV/atom
Density: 11.77 g/cm³
Formation enthalpy at 0 K: 8 meV/atom
Magnetic moment: 0.0 μB/f.u.
VASP energy: -2.960 eV per atom

Cell and atoms, written as CIF:
```
data_InAg6Au3
_chemical_formula_sum 'In4 Ag24 Au12'
_symmetry_space_group_name_H-M 'C m c 21'
_symmetry_Int_Tables_number 36
_cell_length_a 8.086
_cell_length_b 16.756
_cell_length_c 5.637
_cell_angle_alpha 90.00
_cell_angle_beta 90.00
_cell_angle_gamma 90.00
loop_
_symmetry_equiv_pos_as_xyz
'x,y,z'
'-x,-y,z+1/2'
'-x,y,z'
'x,-y,z+1/2'
'x+1/2,y+1/2,z'
'-x+1/2,-y+1/2,z+1/2'
'-x+1/2,y+1/2,z'
'x+1/2,-y+1/2,z+1/2'
loop_
_atom_site_label
_atom_site_fract_x
_atom_site_fract_y
_atom_site_fract_z
_atom_site_occupancy
In1 0.000 0.161 0.000 1
Ag1 0.000 0.013 0.734 1
Ag2 0.000 0.311 0.715 1
Ag3 0.190 0.280 0.294 1
Ag4 0.191 0.450 0.507 1
Au1 0.000 0.412 0.108 1
Au2 0.180 0.119 0.436 1
```